[1]
A geometry-optimized SrP2BrO structure. Source: Alexandria, functional GGA-PBE.

```
data_SrP2BrO
_chemical_formula_sum 'Sr1 P2 Br1 O1'
_space_group_name_H-M_alt 'P 1'
_space_group_IT_number 1
_space_group_name_Hall 'P 1'
_cell_length_a 5.0101
_cell_length_b 5.0101
_cell_length_c 4.2975
_cell_angle_alpha 90.00
_cell_angle_beta 90.00
_cell_angle_gamma 90.00
loop_
_atom_site_label
_atom_site_type_symbol
_atom_site_fract_x
_atom_site_fract_y
_atom_site_fract_z
_atom_site_occupancy
P1 P 0.0000 0.5000 0.0000 1
P2 P 0.5000 0.0000 0.0000 1
Sr1 Sr 0.5000 0.5000 0.5000 1
O1 O 0.0000 0.0000 0.5000 1
Br1 Br 0.0000 0.0000 0.0000 1
```

Calculated values
Raw formation energy in eV/atom: 0.31
Space group: No. 123



[2]
A geometry-optimized RbTl2AsSe4 structure. Source: Alexandria, functional GGA-PBE.

```
data_RbTl2AsSe4
_chemical_formula_sum 'Rb2 Tl4 As2 Se8'
_space_group_name_H-M_alt 'P 1'
_space_group_IT_number 1
_space_group_name_Hall 'P 1'
_cell_length_a 8.6673
_cell_length_b 8.6673
_cell_length_c 8.6522
_cell_angle_alpha 119.96
_cell_angle_beta 119.96
_cell_angle_gamma 90.29
loop_
_atom_site_label
_atom_site_type_symbol
_atom_site_fract_x
_atom_site_fract_y
_atom_site_fract_z
_atom_site_occupancy
Rb1 Rb 0.0000 0.5000 0.0000 1
Rb2 Rb 0.0000 0.5000 0.5000 1
Se1 Se 0.2994 0.7613 0.5305 1
Se2 Se 0.7006 0.2387 0.4695 1
Se3 Se 0.7387 0.2006 0.9695 1
Se4 Se 0.2630 0.2367 0.0354 1
Se5 Se 0.2613 0.7994 0.0305 1
Se6 Se 0.7370 0.7633 0.9646 1
Se7 Se 0.2633 0.2370 0.4646 1
Se8 Se 0.7367 0.7630 0.5354 1
Tl1 Tl 0.5000 0.0000 0.5000 1
Tl2 Tl 0.5000 0.0000 0.0000 1
Tl3 Tl 0.5000 0.5000 0.0000 1
Tl4 Tl 0.0000 0.0000 0.5000 1
As1 As 0.5000 0.5000 0.5000 1
As2 As 0.0000 0.0000 0.0000 1
```

Calculated values
Raw formation energy in eV/atom: -0.32
Space group: No. 15



[3]
A geometry-optimized UMn2Sn structure. Source: Alexandria, functional GGA-PBE.

```
data_UMn2Sn
_chemical_formula_sum 'U1 Mn2 Sn1'
_space_group_name_H-M_alt 'P 1'
_space_group_IT_number 1
_space_group_name_Hall 'P 1'
_cell_length_a 4.8181
_cell_length_b 3.2055
_cell_length_c 6.8811
_cell_angle_alpha 76.51
_cell_angle_beta 97.90
_cell_angle_gamma 48.30
loop_
_atom_site_label
_atom_site_type_symbol
_atom_site_fract_x
_atom_site_fract_y
_atom_site_fract_z
_atom_site_occupancy
U1 U 0.0527 0.7067 0.2784 1
Sn1 Sn 0.5507 0.4621 0.7682 1
Mn1 Mn 0.2262 0.1664 0.0089 1
Mn2 Mn 0.7983 0.3875 0.4256 1
```

Calculated values
Space group: No. 1
Energy of formation in kJ per mole of atoms: 11.81



[4]
A geometry-optimized AgRu3Cl structure. Source: Alexandria, functional GGA-PBE.

```
data_AgRu3Cl
_chemical_formula_sum 'Ag1 Ru3 Cl1'
_space_group_name_H-M_alt 'P 1'
_space_group_IT_number 1
_space_group_name_Hall 'P 1'
_cell_length_a 4.3744
_cell_length_b 4.3744
_cell_length_c 4.3744
_cell_angle_alpha 90.00
_cell_angle_beta 90.00
_cell_angle_gamma 90.00
loop_
_atom_site_label
_atom_site_type_symbol
_atom_site_fract_x
_atom_site_fract_y
_atom_site_fract_z
_atom_site_occupancy
Ru1 Ru 0.5000 0.0000 0.0000 1
Ru2 Ru 0.0000 0.0000 0.5000 1
Ru3 Ru 0.0000 0.5000 0.0000 1
Cl1 Cl 0.0000 0.0000 0.0000 1
Ag1 Ag 0.5000 0.5000 0.5000 1
```

Calculated values
Raw formation energy in eV/atom: 1.15
Space group: No. 221



[5]
A geometry-optimized BiHPt2Au structure. Source: Alexandria, functional GGA-PBE.

```
data_BiHPt2Au
_chemical_formula_sum 'Bi1 H1 Pt2 Au1'
_space_group_name_H-M_alt 'P 1'
_space_group_IT_number 1
_space_group_name_Hall 'P 1'
_cell_length_a 4.1995
_cell_length_b 4.1995
_cell_length_c 4.5181
_cell_angle_alpha 90.00
_cell_angle_beta 90.00
_cell_angle_gamma 90.00
loop_
_atom_site_label
_atom_site_type_symbol
_atom_site_fract_x
_atom_site_fract_y
_atom_site_fract_z
_atom_site_occupancy
Pt1 Pt 0.5000 0.0000 0.0000 1
Pt2 Pt 0.0000 0.5000 0.0000 1
H1 H 0.0000 0.0000 0.0000 1
Bi1 Bi 0.5000 0.5000 0.5000 1
Au1 Au 0.0000 0.0000 0.5000 1
```

Calculated values
Space group: No. 123



[6]
A geometry-optimized OsPtPb2 structure. Source: Alexandria, functional GGA-PBE.

```
data_OsPtPb2
_chemical_formula_sum 'Os1 Pt1 Pb2'
_space_group_name_H-M_alt 'P 1'
_space_group_IT_number 1
_space_group_name_Hall 'P 1'
_cell_length_a 3.3911
_cell_length_b 3.3805
_cell_length_c 7.7268
_cell_angle_alpha 64.43
_cell_angle_beta 90.00
_cell_angle_gamma 90.00
loop_
_atom_site_label
_atom_site_type_symbol
_atom_site_fract_x
_atom_site_fract_y
_atom_site_fract_z
_atom_site_occupancy
Pb1 Pb 0.0000 0.0067 0.9945 1
Pb2 Pb 0.0000 0.4933 0.5055 1
Os1 Os 0.5000 0.7500 0.7500 1
Pt1 Pt 0.5000 0.2500 0.2500 1
```

Calculated values
Space group: No. 10
Energy of formation in kJ per mole of atoms: 60.63



[7]
A geometry-optimized Ac3SbIrCl structure. Source: Alexandria, functional GGA-PBE.

```
data_Ac3SbIrCl
_chemical_formula_sum 'Ac6 Sb2 Ir2 Cl2'
_space_group_name_H-M_alt 'P 1'
_space_group_IT_number 1
_space_group_name_Hall 'P 1'
_cell_length_a 4.5323
_cell_length_b 9.2455
_cell_length_c 9.9804
_cell_angle_alpha 103.43
_cell_angle_beta 90.00
_cell_angle_gamma 90.00
loop_
_atom_site_label
_atom_site_type_symbol
_atom_site_fract_x
_atom_site_fract_y
_atom_site_fract_z
_atom_site_occupancy
Sb1 Sb 0.7500 0.8261 0.7703 1
Sb2 Sb 0.2500 0.1739 0.2297 1
Ac1 Ac 0.7500 0.8717 0.1253 1
Ac2 Ac 0.7500 0.4386 0.1512 1
Ac3 Ac 0.2500 0.1283 0.8747 1
Ac4 Ac 0.2500 0.5614 0.8488 1
Ac5 Ac 0.2500 0.7346 0.4840 1
Ac6 Ac 0.7500 0.2654 0.5160 1
Cl1 Cl 0.2500 0.0898 0.5807 1
Cl2 Cl 0.7500 0.9102 0.4193 1
Ir1 Ir 0.2500 0.6596 0.1557 1
Ir2 Ir 0.7500 0.3404 0.8443 1
```

Calculated values
Raw formation energy in eV/atom: -1.07
Space group: No. 11



[8]
A geometry-optimized CaAcAs2Pt4 structure. Source: Alexandria, functional GGA-PBE.

```
data_CaAcAs2Pt4
_chemical_formula_sum 'Ca1 Ac1 As2 Pt4'
_space_group_name_H-M_alt 'P 1'
_space_group_IT_number 1
_space_group_name_Hall 'P 1'
_cell_length_a 4.7140
_cell_length_b 4.7140
_cell_length_c 8.2833
_cell_angle_alpha 90.00
_cell_angle_beta 90.00
_cell_angle_gamma 90.00
loop_
_atom_site_label
_atom_site_type_symbol
_atom_site_fract_x
_atom_site_fract_y
_atom_site_fract_z
_atom_site_occupancy
Pt1 Pt 0.5000 0.0000 0.2310 1
Pt2 Pt 0.0000 0.5000 0.2310 1
Pt3 Pt 0.0000 0.5000 0.7690 1
Pt4 Pt 0.5000 0.0000 0.7690 1
Ca1 Ca 0.0000 0.0000 0.0000 1
As1 As 0.5000 0.5000 0.3136 1
As2 As 0.5000 0.5000 0.6864 1
Ac1 Ac 0.0000 0.0000 0.5000 1
```

Calculated values
Space group: No. 123
Energy of formation in kJ per mole of atoms: -68.59



[9]
A geometry-optimized Ba3Hg3Bi8 structure. Source: Alexandria, functional GGA-PBE.

```
data_Ba3Hg3Bi8
_chemical_formula_sum 'Ba3 Hg3 Bi8'
_space_group_name_H-M_alt 'P 1'
_space_group_IT_number 1
_space_group_name_Hall 'P 1'
_cell_length_a 5.8125
_cell_length_b 9.9278
_cell_length_c 9.9278
_cell_angle_alpha 69.32
_cell_angle_beta 72.98
_cell_angle_gamma 72.98
loop_
_atom_site_label
_atom_site_type_symbol
_atom_site_fract_x
_atom_site_fract_y
_atom_site_fract_z
_atom_site_occupancy
Ba1 Ba 0.1950 0.8050 0.8050 1
Ba2 Ba 0.5000 0.5000 0.5000 1
Ba3 Ba 0.8050 0.1950 0.1950 1
Bi1 Bi 0.8381 0.5137 0.8102 1
Bi2 Bi 0.1619 0.4863 0.1898 1
Bi3 Bi 0.1619 0.1898 0.4863 1
Bi4 Bi 0.3698 0.9038 0.3565 1
Bi5 Bi 0.6302 0.0962 0.6435 1
Bi6 Bi 0.6302 0.6435 0.0962 1
Bi7 Bi 0.3698 0.3565 0.9038 1
Bi8 Bi 0.8381 0.8102 0.5137 1
Hg1 Hg 0.0000 0.8371 0.1629 1
Hg2 Hg 0.5000 0.0000 0.0000 1
Hg3 Hg 0.0000 0.1629 0.8371 1
```

Calculated values
Space group: No. 71
Energy of formation in kJ per mole of atoms: -33.94



[10]
A geometry-optimized ThNiRh4 structure. Source: Alexandria, functional GGA-PBE.

```
data_ThNiRh4
_chemical_formula_sum 'Th2 Ni2 Rh8'
_space_group_name_H-M_alt 'P 1'
_space_group_IT_number 1
_space_group_name_Hall 'P 1'
_cell_length_a 3.9626
_cell_length_b 6.6596
_cell_length_c 7.5689
_cell_angle_alpha 90.00
_cell_angle_beta 90.00
_cell_angle_gamma 90.00
loop_
_atom_site_label
_atom_site_type_symbol
_atom_site_fract_x
_atom_site_fract_y
_atom_site_fract_z
_atom_site_occupancy
Th1 Th 0.0000 0.3657 0.2500 1
Th2 Th 0.0000 0.6343 0.7500 1
Rh1 Rh 0.5000 0.2947 0.5482 1
Rh2 Rh 0.5000 0.7053 0.0482 1
Rh3 Rh 0.0000 0.0000 0.0000 1
Rh4 Rh 0.5000 0.7053 0.4518 1
Rh5 Rh 0.5000 0.9562 0.7500 1
Rh6 Rh 0.5000 0.0438 0.2500 1
Rh7 Rh 0.5000 0.2947 0.9518 1
Rh8 Rh 0.0000 0.0000 0.5000 1
Ni1 Ni 0.0000 0.2346 0.7500 1
Ni2 Ni 0.0000 0.7654 0.2500 1
```

Calculated values
Space group: No. 51
Energy of formation in kJ per mole of atoms: -31.16



[11]
A geometry-optimized LiAc2TlPd structure. Source: Alexandria, functional GGA-PBE.

```
data_LiAc2TlPd
_chemical_formula_sum 'Li2 Ac4 Tl2 Pd2'
_space_group_name_H-M_alt 'P 1'
_space_group_IT_number 1
_space_group_name_Hall 'P 1'
_cell_length_a 4.8857
_cell_length_b 7.8145
_cell_length_c 8.2020
_cell_angle_alpha 110.30
_cell_angle_beta 90.00
_cell_angle_gamma 90.00
loop_
_atom_site_label
_atom_site_type_symbol
_atom_site_fract_x
_atom_site_fract_y
_atom_site_fract_z
_atom_site_occupancy
Ac1 Ac 0.2500 0.2919 0.9511 1
Ac2 Ac 0.2500 0.1179 0.3406 1
Ac3 Ac 0.7500 0.7081 0.0489 1
Ac4 Ac 0.7500 0.8821 0.6594 1
Pd1 Pd 0.2500 0.8918 0.9235 1
Pd2 Pd 0.7500 0.1082 0.0765 1
Tl1 Tl 0.2500 0.6586 0.3456 1
Tl2 Tl 0.7500 0.3414 0.6544 1
Li1 Li 0.7500 0.4400 0.3380 1
Li2 Li 0.2500 0.5600 0.6620 1
```

Calculated values
Space group: No. 11
Energy of formation in kJ per mole of atoms: -46.04



[12]
A geometry-optimized AcAgAs structure. Source: Alexandria, functional GGA-PBE.

```
data_AcAgAs
_chemical_formula_sum 'Ac2 Ag2 As2'
_space_group_name_H-M_alt 'P 1'
_space_group_IT_number 1
_space_group_name_Hall 'P 1'
_cell_length_a 4.2854
_cell_length_b 5.1372
_cell_length_c 8.5872
_cell_angle_alpha 107.41
_cell_angle_beta 104.38
_cell_angle_gamma 90.00
loop_
_atom_site_label
_atom_site_type_symbol
_atom_site_fract_x
_atom_site_fract_y
_atom_site_fract_z
_atom_site_occupancy
As1 As 0.8474 0.3454 0.6908 1
As2 As 0.1526 0.6546 0.3092 1
Ag1 Ag 0.0000 0.7498 0.9999 1
Ag2 Ag 0.0000 0.2502 0.0001 1
Ac1 Ac 0.3483 0.8474 0.6948 1
Ac2 Ac 0.6517 0.1526 0.3052 1
```

Calculated values
Space group: No. 12
Energy of formation in kJ per mole of atoms: -72.34



no.,calculated total energy (eV/cell)
1,-17.6
2,-53.8
3,-33.1
4,-26.8
5,-21.9
6,-22.2
7,-67.1
8,-45.3
9,-42.6
10,-89.1
11,-40.2
12,-27.7